Entry from the Alexandria database: an optimized crystal structure of TaCd2Re (PBE).

Values from the calculation:
As for the energy relative to the lowest polymorph listed for this composition: 307 meV/atom. Its symmetry is R-3m, No. 166.

Unit cell a=10.1988 b=10.1988 c=10.1988 alpha=16.28 beta=16.28 gamma=16.28
With the nearest neighbours (Å) after each atom.
Sites, in units of the cell vectors:
1 Cd 0.5033 0.5033 0.5033  6 Cd 2.89, 3 Re 2.94, 3 Ta 3.10
2 Re 0.2500 0.2500 0.2500  6 Re 2.89, 6 Cd 2.94
3 Cd 0.9967 0.9967 0.9967  6 Cd 2.89, 3 Re 2.94, 3 Ta 3.10
4 Ta 0.7500 0.7500 0.7500  6 Ta 2.89, 6 Cd 3.10